Record 1
VASP calculation (PBE) on a geometry-optimized MnAs2PSe structure.

Results
E_form (uncorrected) = 1190 meV/atom
Polymorph energy (0 for the lowest one) = 562 meV per atom
E_tot = -4.282 eV/atom
Symmetry = P4/mmm
Total magnetization = 0.09 μB per cell

Cell: 4.635 4.635 4.806 Å, 90.00 90.00 90.00°
Positions (direct):
Mn: 0.000 0.000 0.000
As: 0.000 0.500 0.500
As: 0.500 0.000 0.500
P: 0.500 0.500 0.500
Se: 0.500 0.500 0.000



Record 2
VASP calculation (PBE) on a geometry-optimized MnAs2PSe structure.

Results
E_form (uncorrected) = 628 meV/atom
Polymorph energy (0 for the lowest one) = 0 meV per atom
E_tot = -4.845 eV/atom
Symmetry = P4/mmm
Total magnetization = 0.33 μB per cell

Cell: 4.406 4.406 5.118 Å, 90.00 90.00 90.00°
Positions (direct):
Mn: 0.000 0.000 0.000
As: 0.000 0.500 0.000
As: 0.500 0.000 0.000
P: 0.500 0.500 0.500
Se: 0.000 0.000 0.500



Record 3
VASP calculation (PBE) on a geometry-optimized SrMnAsP2 structure.

Results
ΔH_f (0 K) = 18.0 kJ/mol of atoms
E_tot = -5.077 eV/atom
Symmetry = P4/mmm
Total magnetization = 3.94 μB per cell

Cell: 5.089 5.089 4.549 Å, 90.00 90.00 90.00°
Positions (direct):
Sr: 0.000 0.000 0.000
Mn: 0.500 0.500 0.000
As: 0.500 0.500 0.500
P: 0.000 0.500 0.500
P: 0.500 0.000 0.500



Record 4
VASP calculation (PBE) on a geometry-optimized U2Mn2AsP2 structure.

Results
ΔH_f (0 K) = -44.3 kJ/mol of atoms
E_tot = -8.514 eV/atom
Symmetry = C2/m
Total magnetization = 0.80 μB per cell

Cell: 5.066 5.066 7.622 Å, 117.40 117.40 48.69°
Positions (direct):
U: 0.023 0.023 0.246
U: 0.977 0.977 0.754
Mn: 0.228 0.228 0.200
Mn: 0.772 0.772 0.800
As: 0.500 0.500 0.500
P: 0.324 0.324 0.943
P: 0.676 0.676 0.057



Record 5
VASP calculation (PBE) on a geometry-optimized PaMn3As3 structure.

Results
ΔH_f (0 K) = 15.1 kJ/mol of atoms
E_tot = -7.122 eV/atom
Symmetry = Pm-3n
Total magnetization = 16.75 μB per cell

Cell: 6.508 6.508 6.508 Å, 90.00 90.00 90.00°
Positions (direct):
Pa: 0.000 0.000 0.000
Pa: 0.500 0.500 0.500
Mn: 0.000 0.250 0.500
Mn: 0.000 0.750 0.500
Mn: 0.250 0.500 0.000
Mn: 0.500 0.000 0.250
Mn: 0.500 0.000 0.750
Mn: 0.750 0.500 0.000
As: 0.000 0.500 0.250
As: 0.000 0.500 0.750
As: 0.250 0.000 0.500
As: 0.500 0.250 0.000
As: 0.500 0.750 0.000
As: 0.750 0.000 0.500



Record 6
VASP calculation (PBE) on a geometry-optimized Pa2MnAs structure.

Results
ΔH_f (0 K) = 15.8 kJ/mol of atoms
E_tot = -8.039 eV/atom
Symmetry = R-3m
Total magnetization = 0.00 μB per cell

Cell: 9.779 9.779 9.779 Å, 18.44 18.44 18.44°
Positions (direct):
Pa: 0.081 0.081 0.081
Pa: 0.919 0.919 0.919
Mn: 0.000 0.000 0.000
As: 0.500 0.500 0.500



Record 7
VASP calculation (PBE) on a geometry-optimized Sr3Pa3MnAs8 structure.

Results
ΔH_f (0 K) = -81.6 kJ/mol of atoms
E_tot = -6.172 eV/atom
Symmetry = R-3m
Total magnetization = 4.00 μB per cell

Cell: 8.644 8.644 8.644 Å, 57.48 57.48 57.48°
Positions (direct):
Sr: 0.000 0.500 0.500
Sr: 0.500 0.000 0.500
Sr: 0.500 0.500 0.000
Pa: 0.000 0.000 0.500
Pa: 0.000 0.500 0.000
Pa: 0.500 0.000 0.000
Mn: 0.500 0.500 0.500
As: 0.241 0.241 0.241
As: 0.244 0.729 0.729
As: 0.271 0.271 0.756
As: 0.271 0.755 0.271
As: 0.729 0.244 0.729
As: 0.729 0.729 0.244
As: 0.756 0.271 0.271
As: 0.759 0.759 0.759



Record 8
VASP calculation (PBE) on a geometry-optimized PaMnTcAs structure.

Results
ΔH_f (0 K) = -7.5 kJ/mol of atoms
E_tot = -8.498 eV/atom
Symmetry = F-43m
Total magnetization = 0.00 μB per cell

Cell: 4.546 4.546 4.546 Å, 60.00 60.00 60.00°
Positions (direct):
Pa: 0.000 0.000 0.000
Mn: 0.250 0.250 0.250
Tc: 0.750 0.750 0.750
As: 0.500 0.500 0.500



Record 9
VASP calculation (PBE) on a geometry-optimized MnAsPb2 structure.

Results
Polymorph energy (0 for the lowest one) = 0 meV per atom
ΔH_f (0 K) = 7.8 kJ/mol of atoms
E_tot = -5.228 eV/atom
Symmetry = Immm
Total magnetization = 3.68 μB per cell

Cell: 8.176 8.176 8.176 Å, 155.16 153.99 36.28°
Positions (direct):
Mn: 0.000 0.000 0.000
As: 0.500 0.500 0.000
Pb: 0.169 0.669 0.500
Pb: 0.831 0.331 0.500



Record 10
VASP calculation (PBE) on a geometry-optimized MnAs2Pb structure.

Results
Polymorph energy (0 for the lowest one) = 36 meV per atom
ΔH_f (0 K) = -1.0 kJ/mol of atoms
E_tot = -5.554 eV/atom
Symmetry = R-3m
Total magnetization = 2.58 μB per cell

Cell: 9.188 9.188 9.188 Å, 20.71 20.71 20.71°
Positions (direct):
Mn: 0.000 0.000 0.000
As: 0.274 0.274 0.274
As: 0.726 0.726 0.726
Pb: 0.500 0.500 0.500



Record 11
VASP calculation (PBE) on a geometry-optimized MnAs2Pb structure.

Results
Polymorph energy (0 for the lowest one) = 94 meV per atom
ΔH_f (0 K) = 4.6 kJ/mol of atoms
E_tot = -5.496 eV/atom
Symmetry = P4/mmm
Total magnetization = 2.41 μB per cell

Cell: 3.220 3.220 7.794 Å, 90.00 90.00 90.00°
Positions (direct):
Mn: 0.000 0.000 0.000
As: 0.500 0.500 0.174
As: 0.500 0.500 0.826
Pb: 0.000 0.000 0.500



Record 12
VASP calculation (PBE) on a geometry-optimized MnAsPb2 structure.

Results
Polymorph energy (0 for the lowest one) = 117 meV per atom
ΔH_f (0 K) = 19.0 kJ/mol of atoms
E_tot = -5.112 eV/atom
Symmetry = Cm
Total magnetization = 3.31 μB per cell

Cell: 5.864 5.864 5.486 Å, 110.40 110.40 33.50°
Positions (direct):
Mn: 0.000 0.000 0.000
As: 0.648 0.648 0.270
Pb: 0.245 0.245 0.864
Pb: 0.442 0.442 0.501



Which formula does entry 2 have? MnAs2PSe



What did the third record say?
VASP calculation (PBE) on a geometry-optimized SrMnAsP2 structure.

Results
ΔH_f (0 K) = 18.0 kJ/mol of atoms
E_tot = -5.077 eV/atom
Symmetry = P4/mmm
Total magnetization = 3.94 μB per cell

Cell: 5.089 5.089 4.549 Å, 90.00 90.00 90.00°
Positions (direct):
Sr: 0.000 0.000 0.000
Mn: 0.500 0.500 0.000
As: 0.500 0.500 0.500
P: 0.000 0.500 0.500
P: 0.500 0.000 0.500



Among the records above, which one has the highest E_tot? number 1